# Mo2PbF

A relaxed structure of Mo2PbF (PBE+U, the Alexandria database).

Calculated density: 6.66 g/cm³
SG: I-42d (122)
Uncorrected energy: -4.41 eV/atom

a = 5.564 Å, b = 5.564 Å, c = 7.795 Å
α = 69.09°, β = 69.09°, γ = 90.00°
Site moments in Bohr magnetons follow the coordinates.
Sites, in units of the cell vectors:
1 Pb 0.000 0.000 0.000  -0.21
2 Pb 0.750 0.250 0.500  -0.21
3 Mo 0.493 0.125 0.250  3.40
4 Mo 0.257 0.625 0.250  3.40
5 Mo 0.375 0.507 0.750  3.38
6 Mo 0.875 0.743 0.750  3.40
7 F 0.500 0.500 0.000  0.02
8 F 0.250 0.750 0.500  0.02